Here is TiPtPb3 after structural relaxation from the Alexandria database. Energies are from PBE.

a b c (Å): 5.363 5.363 5.363
angles (deg): 90.00 90.00 90.00
Element x y z (fractional)
Ti (0.000, 0.000, 0.000)
Pt (0.500, 0.500, 0.500)
Pb (0.000, 0.500, 0.500)
Pb (0.500, 0.000, 0.500)
Pb (0.500, 0.500, 0.000)

energy of formation = 688 meV/atom
uncorrected energy = -4.324 eV/atom
crystal system = cubic
offset from the most stable computed form = 0.0000 eV/atom

---

Here is YTiPt2Pb after structural relaxation from the Alexandria database. Energies are from PBE.

a b c (Å): 5.041 5.041 5.625
angles (deg): 90.00 90.00 90.00
Element x y z (fractional)
Y (0.000, 0.000, 0.000)
Ti (0.500, 0.500, 0.500)
Pt (0.000, 0.500, 0.000)
Pt (0.500, 0.000, 0.000)
Pb (0.000, 0.000, 0.500)

energy of formation = 938 meV/atom
uncorrected energy = -5.092 eV/atom
crystal system = tetragonal

---

Here is TlPt2Pb2 after structural relaxation from the Alexandria database. Energies are from PBE.

a b c (Å): 6.387 6.387 6.387
angles (deg): 134.40 134.40 66.47
Element x y z (fractional)
Tl (0.000, 0.000, 0.000)
Pt (0.377, 0.377, 0.000)
Pt (0.623, 0.623, 0.000)
Pb (0.250, 0.750, 0.500)
Pb (0.750, 0.250, 0.500)

energy of formation = -12 meV/atom
uncorrected energy = -4.385 eV/atom
crystal system = tetragonal

---

Here is TlPtPb2 after structural relaxation from the Alexandria database. Energies are from PBE.

a b c (Å): 7.099 7.099 4.763
angles (deg): 109.45 109.45 28.92
Element x y z (fractional)
Tl (0.000, 0.000, 0.000)
Pt (0.298, 0.298, 0.800)
Pb (0.623, 0.623, 0.622)
Pb (0.822, 0.822, 0.323)

energy of formation = -14 meV/atom
uncorrected energy = -3.970 eV/atom
crystal system = monoclinic
offset from the most stable computed form = 0.1429 eV/atom